No. 1
A relaxed structure of YRuBr2. Source: Alexandria, functional PBE.

## Properties
E_form (uncorrected): -1.85 eV/f.u.
Size of the total moment: 1.019 μB per formula unit
Polymorph energy (0 for the lowest one): 154 meV/atom
Volume: 26.24 Å³/atom
Crystal system: tetragonal

Cell lengths 3.7824, 3.7800, 7.3419 Å; angles 90.00, 90.00, 90.00 degrees
Last column: magnetic moment on the atom in μB.
Fractional coordinates of all 4 atoms:
Br 0.0000 0.0000 0.9099  0.00
Br 0.5000 0.5000 0.3254  0.04
Ru 0.0000 0.0000 0.5589  1.09
Y 0.5000 0.5000 0.7058  -0.12

=====

No. 2
A relaxed structure of YRu2Br. Source: Alexandria, functional PBE.

## Properties
E_form (uncorrected): 1.47 eV/f.u.
Size of the total moment: 0.369 μB per formula unit
Polymorph energy (0 for the lowest one): 560 meV/atom
Volume: 20.79 Å³/atom
Crystal system: orthorhombic

Cell lengths 3.3029, 4.4061, 5.7133 Å; angles 90.00, 90.00, 90.00 degrees
Last column: magnetic moment on the atom in μB.
Fractional coordinates of all 4 atoms:
Ru 0.0000 0.0000 0.4528  0.18
Ru 0.0000 0.0000 0.0472  0.18
Br 0.5000 0.5000 0.7500  0.01
Y 0.5000 0.5000 0.2500  -0.02

=====

No. 3
A relaxed structure of YRuBr4. Source: Alexandria, functional PBE.

## Properties
E_form (uncorrected): 4.12 eV/f.u.
Size of the total moment: 2.067 μB per formula unit
Volume: 27.00 Å³/atom
Crystal system: cubic

Cell lengths 6.1190, 6.1190, 6.1190 Å; angles 60.00, 60.00, 60.00 degrees
Last column: magnetic moment on the atom in μB.
Fractional coordinates of all 6 atoms:
Br 0.3757 0.3757 0.8728  -0.04
Br 0.3757 0.3757 0.3757  -0.04
Br 0.8728 0.3757 0.3757  -0.04
Br 0.3757 0.8728 0.3757  -0.04
Ru 0.7500 0.7500 0.7500  2.21
Y 0.0000 0.0000 0.0000  -0.14